# 1
Below is crystalline K2MnAs2 at its relaxed geometry, with properties calculated at the GGA-PBE level.

Geometry as CIF:
```
data_K2MnAs2
_chemical_formula_sum 'K2 Mn1 As2'
_cell_length_a 3.2203
_cell_length_b 3.2203
_cell_length_c 15.1012
_cell_angle_alpha 90.00
_cell_angle_beta 90.00
_cell_angle_gamma 90.00
_space_group_name_H-M_alt 'P 1'
_space_group_IT_number 1
loop_
_space_group_symop_operation_xyz
'x,y,z'
loop_
_atom_site_label
_atom_site_fract_x
_atom_site_fract_y
_atom_site_fract_z
_atom_site_occupancy
K1 0.5000 0.5000 0.6362 1
Mn1 0.5000 0.5000 0.0000 1
K2 0.5000 0.5000 0.3638 1
As1 0.5000 0.5000 0.8405 1
As2 0.5000 0.5000 0.1595 1
```

Properties
Formation energy in eV/atom: 0.54

***

# 2
Below is crystalline KMnAs2 at its relaxed geometry, with properties calculated at the GGA-PBE level.

Geometry as CIF:
```
data_KMnAs2
_chemical_formula_sum 'K1 Mn1 As2'
_cell_length_a 4.5846
_cell_length_b 4.5871
_cell_length_c 4.1696
_cell_angle_alpha 90.00
_cell_angle_beta 90.00
_cell_angle_gamma 90.00
_space_group_name_H-M_alt 'P 1'
_space_group_IT_number 1
loop_
_space_group_symop_operation_xyz
'x,y,z'
loop_
_atom_site_label
_atom_site_fract_x
_atom_site_fract_y
_atom_site_fract_z
_atom_site_occupancy
As1 0.5000 0.5000 0.0000 1
K1 0.5000 0.0000 0.5000 1
Mn1 0.0000 0.5000 0.5000 1
As2 0.0000 0.0000 0.0000 1
```

Properties
Formation energy in eV/atom: 0.33
E above lowest polymorph in meV/atom: 588.0

***

# 3
Below is crystalline KMn2As at its relaxed geometry, with properties calculated at the GGA-PBE level.

Geometry as CIF:
```
data_KMn2As
_chemical_formula_sum 'K1 Mn2 As1'
_cell_length_a 6.7040
_cell_length_b 6.7040
_cell_length_c 6.7040
_cell_angle_alpha 36.27
_cell_angle_beta 36.27
_cell_angle_gamma 36.27
_space_group_name_H-M_alt 'P 1'
_space_group_IT_number 1
loop_
_space_group_symop_operation_xyz
'x,y,z'
loop_
_atom_site_label
_atom_site_fract_x
_atom_site_fract_y
_atom_site_fract_z
_atom_site_occupancy
Mn1 0.5623 0.5623 0.5623 1
Mn2 0.9377 0.9377 0.9377 1
K1 0.7500 0.7500 0.7500 1
As1 0.2500 0.2500 0.2500 1
```

Properties
Formation energy in eV/atom: 0.20

***

# 4
Below is crystalline KMn2As at its relaxed geometry, with properties calculated at the GGA-PBE level.

Geometry as CIF:
```
data_KMn2As
_chemical_formula_sum 'K1 Mn2 As1'
_cell_length_a 3.2558
_cell_length_b 3.2558
_cell_length_c 7.9220
_cell_angle_alpha 90.00
_cell_angle_beta 90.00
_cell_angle_gamma 90.00
_space_group_name_H-M_alt 'P 1'
_space_group_IT_number 1
loop_
_space_group_symop_operation_xyz
'x,y,z'
loop_
_atom_site_label
_atom_site_fract_x
_atom_site_fract_y
_atom_site_fract_z
_atom_site_occupancy
As1 0.0000 0.0000 0.4109 1
Mn1 0.5000 0.5000 0.2757 1
K1 0.5000 0.5000 0.7256 1
Mn2 0.0000 0.0000 0.0877 1
```

Properties
Formation energy in eV/atom: 0.22

***

# 5
Below is crystalline K2MnAs at its relaxed geometry, with properties calculated at the GGA-PBE level.

Geometry as CIF:
```
data_K2MnAs
_chemical_formula_sum 'K4 Mn2 As2'
_cell_length_a 13.0531
_cell_length_b 13.0531
_cell_length_c 9.5277
_cell_angle_alpha 46.76
_cell_angle_beta 46.76
_cell_angle_gamma 90.00
_space_group_name_H-M_alt 'P 1'
_space_group_IT_number 1
loop_
_space_group_symop_operation_xyz
'x,y,z'
loop_
_atom_site_label
_atom_site_fract_x
_atom_site_fract_y
_atom_site_fract_z
_atom_site_occupancy
Mn1 0.2500 0.7500 0.5000 1
K1 0.8879 0.6250 0.2500 1
K2 0.3750 0.1379 0.7500 1
As1 0.7500 0.2500 0.5000 1
Mn2 0.5000 0.5000 0.0000 1
As2 0.0000 0.0000 0.0000 1
K3 0.8750 0.1121 0.7500 1
K4 0.8621 0.1250 0.2500 1
```

Properties
Formation energy in eV/atom: 0.02

***

# 6
Below is crystalline K2MnAs at its relaxed geometry, with properties calculated at the GGA-PBE level.

Geometry as CIF:
```
data_K2MnAs
_chemical_formula_sum 'K2 Mn1 As1'
_cell_length_a 11.8205
_cell_length_b 11.8205
_cell_length_c 11.8205
_cell_angle_alpha 16.60
_cell_angle_beta 16.60
_cell_angle_gamma 16.60
_space_group_name_H-M_alt 'P 1'
_space_group_IT_number 1
loop_
_space_group_symop_operation_xyz
'x,y,z'
loop_
_atom_site_label
_atom_site_fract_x
_atom_site_fract_y
_atom_site_fract_z
_atom_site_occupancy
Mn1 0.2500 0.2500 0.2500 1
K1 0.0085 0.0085 0.0085 1
K2 0.4915 0.4915 0.4915 1
As1 0.7500 0.7500 0.7500 1
```

Properties
Formation energy in eV/atom: 0.62

***

# 7
Below is crystalline KMnAs2 at its relaxed geometry, with properties calculated at the GGA-PBE level.

Geometry as CIF:
```
data_KMnAs2
_chemical_formula_sum 'K1 Mn1 As2'
_cell_length_a 5.5573
_cell_length_b 5.5573
_cell_length_c 5.5573
_cell_angle_alpha 134.85
_cell_angle_beta 105.46
_cell_angle_gamma 91.61
_space_group_name_H-M_alt 'P 1'
_space_group_IT_number 1
loop_
_space_group_symop_operation_xyz
'x,y,z'
loop_
_atom_site_label
_atom_site_fract_x
_atom_site_fract_y
_atom_site_fract_z
_atom_site_occupancy
Mn1 0.2500 0.7500 0.5000 1
As1 0.0874 0.0874 0.0000 1
As2 0.4126 0.4126 0.0000 1
K1 0.7500 0.2500 0.5000 1
```

Properties
Formation energy in eV/atom: -0.05
E above lowest polymorph in meV/atom: 205.5

***

# 8
Below is crystalline K2MnAs2 at its relaxed geometry, with properties calculated at the GGA-PBE level.

Geometry as CIF:
```
data_K2MnAs2
_chemical_formula_sum 'K4 Mn2 As4'
_cell_length_a 6.3984
_cell_length_b 8.2254
_cell_length_c 8.2254
_cell_angle_alpha 51.37
_cell_angle_beta 67.11
_cell_angle_gamma 67.11
_space_group_name_H-M_alt 'P 1'
_space_group_IT_number 1
loop_
_space_group_symop_operation_xyz
'x,y,z'
loop_
_atom_site_label
_atom_site_fract_x
_atom_site_fract_y
_atom_site_fract_z
_atom_site_occupancy
K1 0.6472 0.6932 0.0125 1
K2 0.3528 0.3068 0.9875 1
As1 0.9023 0.4257 0.7697 1
Mn1 0.7500 0.5000 0.5000 1
As2 0.5977 0.2303 0.5743 1
K3 0.8528 0.9875 0.3068 1
K4 0.1472 0.0125 0.6932 1
As3 0.0977 0.5743 0.2303 1
Mn2 0.2500 0.5000 0.5000 1
As4 0.4023 0.7697 0.4257 1
```

Properties
Formation energy in eV/atom: -0.35